## Li3Co2Bi3O12 (PBE+U)

Data for a geometry-optimized Li3Co2Bi3O12 structure.

Properties
- Space-group type: Ia-3d (230)
- Raw total energy: -110.27 eV/f.u.

Cell: 10.2514 10.2514 10.2514 Å, 109.47 109.47 109.47°
Fractional coordinates of all 80 atoms:
1 Li 0.7500 0.3750 0.1250
2 Li 0.2500 0.1250 0.3750
3 Li 0.7500 0.8750 0.6250
4 Li 0.1250 0.2500 0.8750
5 Li 0.8750 0.6250 0.7500
6 Li 0.6250 0.8750 0.2500
7 Li 0.3750 0.1250 0.7500
8 Li 0.6250 0.2500 0.3750
9 Li 0.3750 0.7500 0.6250
10 Li 0.8750 0.7500 0.1250
11 Li 0.1250 0.3750 0.2500
12 Li 0.2500 0.6250 0.8750
13 O 0.9708 0.2981 0.8813
14 O 0.6727 0.5831 0.7019
15 O 0.7981 0.3813 0.9708
16 O 0.1187 0.5292 0.2019
17 O 0.0831 0.2019 0.6727
18 O 0.8273 0.0292 0.4105
19 O 0.1727 0.9708 0.5895
20 O 0.8813 0.4708 0.7981
21 O 0.9708 0.1727 0.0895
22 O 0.2019 0.0831 0.1727
23 O 0.2981 0.9708 0.3813
24 O 0.6187 0.9169 0.0895
25 O 0.5292 0.1187 0.7019
26 O 0.9105 0.5292 0.3273
27 O 0.7019 0.0292 0.6187
28 O 0.4708 0.0895 0.1727
29 O 0.7019 0.1727 0.0831
30 O 0.4169 0.5895 0.6187
31 O 0.5292 0.9105 0.8273
32 O 0.0292 0.7019 0.1187
33 O 0.1727 0.7019 0.5831
34 O 0.8273 0.2981 0.4169
35 O 0.3273 0.4105 0.0292
36 O 0.5895 0.6727 0.4708
37 O 0.0895 0.4708 0.6727
38 O 0.3273 0.4169 0.2981
39 O 0.4169 0.3273 0.7981
40 O 0.6727 0.5895 0.9708
41 O 0.4708 0.8813 0.2981
42 O 0.5831 0.6727 0.2019
43 O 0.1187 0.0895 0.9169
44 O 0.6187 0.2019 0.5292
45 O 0.0292 0.8273 0.9105
46 O 0.8813 0.9105 0.0831
47 O 0.9169 0.6187 0.5895
48 O 0.0831 0.3813 0.4105
49 O 0.5831 0.4105 0.3813
50 O 0.9169 0.7981 0.3273
51 O 0.0895 0.1187 0.4169
52 O 0.9105 0.8813 0.5831
53 O 0.4105 0.5831 0.8813
54 O 0.3813 0.7981 0.4708
55 O 0.5895 0.4169 0.1187
56 O 0.2019 0.6187 0.0292
57 O 0.7981 0.9169 0.8273
58 O 0.4105 0.3273 0.5292
59 O 0.2981 0.8273 0.9169
60 O 0.3813 0.0831 0.9105
61 Co 0.0000 0.0000 0.0000
62 Co 0.5000 0.0000 0.5000
63 Co 0.5000 0.0000 0.0000
64 Co 0.0000 0.0000 0.5000
65 Co 0.0000 0.5000 0.5000
66 Co 0.5000 0.5000 0.0000
67 Co 0.0000 0.5000 0.0000
68 Co 0.5000 0.5000 0.5000
69 Bi 0.7500 0.1250 0.8750
70 Bi 0.8750 0.1250 0.2500
71 Bi 0.2500 0.8750 0.1250
72 Bi 0.7500 0.6250 0.3750
73 Bi 0.1250 0.8750 0.7500
74 Bi 0.8750 0.2500 0.6250
75 Bi 0.2500 0.3750 0.6250
76 Bi 0.3750 0.2500 0.1250
77 Bi 0.1250 0.7500 0.3750
78 Bi 0.6250 0.7500 0.8750
79 Bi 0.3750 0.6250 0.2500
80 Bi 0.6250 0.3750 0.7500